No. 1
First-principles (PBE-GGA) data for a relaxed structure of Li3GaCu2, as listed in the Alexandria database.

It has space group C2/c (No. 15), with a = 6.140 Å, b = 6.070 Å, c = 9.128 Å, α = 90.00°, β = 109.50° and γ = 90.00°. The distinct sites, in fractional coordinates, are Li at (0.000, 0.125, 0.250), Li at (0.170, 0.125, 0.590), Ga at (0.000, 0.375, 0.750) and Cu at (0.164, 0.375, 0.078).

As for the density: 4.507 g/cm³. The calculation puts the total energy at -2.98 eV per atom. Its density of states at the Fermi level is 0.41 states/eV/atom.



No. 2
First-principles (PBE-GGA) data for a relaxed structure of Er2PaSe5, as listed in the Alexandria database.

It has space group Fmmm (No. 69), with a = 5.577 Å, b = 9.541 Å, c = 15.185 Å, α = 90.00°, β = 90.00° and γ = 90.00°. The distinct sites, in fractional coordinates, are Er at (0.000, 0.000, 0.181), Pa at (0.000, 0.000, 0.500), Se at (0.000, 0.000, 0.000) and Se at (0.000, 0.165, 0.345).

As for the density: 7.894 g/cm³. Its density of states at the Fermi level is 0.40 states/eV/atom. The formation energy from raw total energies is -1387 meV/atom.



No. 3
First-principles (PBE-GGA) data for a relaxed structure of CdAgF3, as listed in the Alexandria database.

It has space group Ama2 (No. 40), with a = 8.575 Å, b = 6.346 Å, c = 5.750 Å, α = 90.00°, β = 90.00° and γ = 90.00°. The distinct sites, in fractional coordinates, are Cd at (0.000, 0.000, 0.000), Ag at (0.250, 0.042, 0.509), F at (0.065, 0.292, 0.195) and F at (0.250, 0.406, 0.614).

As for the density: 5.886 g/cm³. The formation energy from raw total energies is -1656 meV/atom.



No. 4
First-principles (PBE-GGA) data for a relaxed structure of TaHgP2, as listed in the Alexandria database.

It has space group P4/mmm (No. 123), with a = 3.334 Å, b = 3.334 Å, c = 6.397 Å, α = 90.00°, β = 90.00° and γ = 90.00°. The distinct sites, in fractional coordinates, are Ta at (0.000, 0.000, 0.000), Hg at (0.000, 0.000, 0.500) and P at (0.500, 0.500, 0.189).

As for the density: 10.358 g/cm³. The calculation puts the total energy at -5.90 eV per atom. Its density of states at the Fermi level is 0.46 states/eV/atom.



No. 5
First-principles (PBE-GGA) data for a relaxed structure of TiPdSe2, as listed in the Alexandria database.

It has space group R-3m (No. 166, hexagonal axes), with a = 3.4773 Å, b = 3.4773 Å, c = 24.0101 Å, α = 90.00°, β = 90.00° and γ = 120.00°. The distinct sites, in fractional coordinates, are Ti at (0.0000, 0.0000, 0.0000), Pd at (0.0000, 0.0000, 0.5000) and Se at (0.0000, 0.0000, 0.3988).

As for the density: 6.186 g/cm³. Its density of states at the Fermi level is 0.41 states/eV/atom. The formation energy from raw total energies is -674 meV/atom.



No. 6
First-principles (PBE-GGA) data for a relaxed structure of Ac2Pm9Y, as listed in the Alexandria database.

It has space group P4/mmm (No. 123), with a = 5.233 Å, b = 5.233 Å, c = 15.696 Å, α = 90.00°, β = 90.00° and γ = 90.00°. The distinct sites, in fractional coordinates, are Ac at (0.000, 0.000, 0.169), Pm at (0.000, 0.500, 0.000), Pm at (0.000, 0.500, 0.339), Pm at (0.500, 0.500, 0.170), Pm at (0.500, 0.500, 0.500) and Y at (0.000, 0.000, 0.500).

As for the density: 7.139 g/cm³. The calculation puts the total energy at -4.76 eV per atom. Its density of states at the Fermi level is 1.70 states/eV/atom.